Record 1
Material: AgHgSb2
Method: DFT, PBE
State: relaxed

Cell: 3.186 3.186 9.692 Å, 90.00 90.00 94.55°
Atoms (fractional coordinates):
Ag (0.000, 0.000, 0.506)
Sb (0.500, 0.500, 0.282)
Hg (0.500, 0.500, 0.724)
Sb (0.000, 0.000, 0.988)

Computed properties:
Formation energy without anion corrections   0.170 eV/atom
Energy   -0.1969 Ry per atom
Symmetry   No. 35

***

Record 2
Material: AgHg2Sb
Method: DFT, PBE
State: relaxed

Cell: 4.315 4.315 11.065 Å, 78.76 78.76 90.00°
Atoms (fractional coordinates):
Ag (0.500, 0.500, 0.000)
Hg (0.375, 0.387, 0.750)
Hg (0.613, 0.125, 0.250)
Hg (0.137, 0.625, 0.250)
Ag (0.250, 0.750, 0.500)
Sb (0.000, 0.000, 0.000)
Sb (0.750, 0.250, 0.500)
Hg (0.875, 0.863, 0.750)

Computed properties:
Formation energy without anion corrections   0.132 eV/atom
Energy   -0.1295 Ry per atom
Symmetry   No. 122

***

Record 3
Material: Ag6HgSb2
Method: DFT, PBE
State: relaxed

Cell: 6.920 7.436 7.540 Å, 90.00 95.53 90.00°
Atoms (fractional coordinates):
Ag (0.439, 0.634, 0.363)
Hg (0.000, 0.000, 0.500)
Sb (0.455, 0.096, 0.321)
Sb (0.545, 0.904, 0.679)
Ag (0.939, 0.866, 0.863)
Ag (0.259, 0.157, 0.804)
Ag (0.336, 0.853, 0.034)
Ag (0.759, 0.343, 0.304)
Ag (0.164, 0.353, 0.466)
Hg (0.500, 0.500, 0.000)
Ag (0.836, 0.647, 0.534)
Ag (0.241, 0.657, 0.696)
Ag (0.061, 0.134, 0.137)
Sb (0.045, 0.596, 0.179)
Ag (0.664, 0.147, 0.966)
Ag (0.741, 0.843, 0.196)
Ag (0.561, 0.366, 0.637)
Sb (0.955, 0.404, 0.821)

Computed properties:
Formation energy without anion corrections   0.066 eV/atom
Energy   -0.2047 Ry per atom
Symmetry   No. 14

***

Record 4
Material: AgHg2Sb
Method: DFT, PBE
State: relaxed

Cell: 6.084 6.084 4.991 Å, 95.84 95.84 32.20°
Atoms (fractional coordinates):
Hg (0.005, 0.005, 0.006)
Hg (0.495, 0.495, 0.494)
Ag (0.250, 0.250, 0.250)
Sb (0.750, 0.750, 0.750)

Computed properties:
Formation energy without anion corrections   0.114 eV/atom
Energy   -0.1308 Ry per atom
Symmetry   No. 12

***

Record 5
Material: AgHg2Sb
Method: DFT, PBE
State: relaxed

Cell: 5.402 5.402 3.264 Å, 90.00 90.00 90.00°
Atoms (fractional coordinates):
Ag (0.000, 0.500, 0.500)
Hg (0.000, 0.000, 0.000)
Sb (0.500, 0.000, 0.500)
Hg (0.500, 0.500, 0.000)

Computed properties:
Formation energy without anion corrections   0.214 eV/atom
Energy   -0.1235 Ry per atom
Symmetry   No. 123

***

Record 6
Material: AgHg2Sb
Method: DFT, PBE
State: relaxed

Cell: 9.194 9.194 9.194 Å, 22.34 22.34 22.34°
Atoms (fractional coordinates):
Sb (0.493, 0.493, 0.493)
Hg (0.005, 0.005, 0.005)
Hg (0.253, 0.253, 0.253)
Ag (0.750, 0.750, 0.750)

Computed properties:
Formation energy without anion corrections   0.127 eV/atom
Energy   -0.1299 Ry per atom
Symmetry   No. 160

***

Which value of formation energy without anion corrections does entry 2 give? 0.132 eV/atom

***

Copy entry 1 word for word.
Material: AgHgSb2
Method: DFT, PBE
State: relaxed

Cell: 3.186 3.186 9.692 Å, 90.00 90.00 94.55°
Atoms (fractional coordinates):
Ag (0.000, 0.000, 0.506)
Sb (0.500, 0.500, 0.282)
Hg (0.500, 0.500, 0.724)
Sb (0.000, 0.000, 0.988)

Computed properties:
Formation energy without anion corrections   0.170 eV/atom
Energy   -0.1969 Ry per atom
Symmetry   No. 35

***

What is the formula in the fourth record? AgHg2Sb

***

The lowest energy belongs to which entry? Ag6HgSb2